The following is a PBE with a Hubbard U calculation of GeMoP2O after structural relaxation, from the Alexandria database.

Results
- total magnetization (Bohr magnetons per cell) = 3.3
- N(E_F) (states/eV/cell) = 2.63
- electronic total energy (eV/cell) = -25.4
- relative energy among the computed polymorphs (kJ/mol of formula units) = 138
- calculated volume (Å³ per cell) = 85.2

```
data_GeMoP2O
_cell_length_a 4.8983
_cell_length_b 4.8983
_cell_length_c 3.5528
_cell_angle_alpha 90.00
_cell_angle_beta 90.00
_cell_angle_gamma 90.00
_symmetry_space_group_name_H-M 'P 4/m m m'
_symmetry_Int_Tables_number 123
_symmetry_space_group_name_Hall '-P 4 2'
loop_
_atom_site_label
_atom_site_type_symbol
_atom_site_fract_x
_atom_site_fract_y
_atom_site_fract_z
Ge1 Ge 0.0000 0.0000 0.0000
Mo1 Mo 0.5000 0.5000 0.5000
P1 P 0.0000 0.5000 0.0000
O1 O 0.0000 0.0000 0.5000
```